[1]
# Rb2GaPbO4

A relaxed structure of Rb2GaPbO4 (PBE, the Alexandria database).

Geometry as CIF:
```
data_Rb2GaPbO4
_chemical_formula_sum 'Rb4 Ga2 Pb2 O8'
_space_group_name_H-M_alt 'I -4'
_space_group_IT_number 82
_space_group_name_Hall 'I -4'
_cell_length_a 6.1856
_cell_length_b 6.1856
_cell_length_c 8.3822
_cell_angle_alpha 90.00
_cell_angle_beta 90.00
_cell_angle_gamma 90.00
loop_
_atom_site_label
_atom_site_type_symbol
_atom_site_fract_x
_atom_site_fract_y
_atom_site_fract_z
Rb1 Rb 0.0000 0.0000 0.0000
Rb2 Rb 0.0000 0.5000 0.2500
Ga1 Ga 0.0000 0.0000 0.5000
Pb1 Pb 0.0000 0.5000 0.7500
O1 O 0.1422 0.2210 0.6146
```

Calculated values
Energy relative to the elements, uncorrected   -1.4255 eV per atom
DOS at the Fermi energy   2.70 states/eV/f.u.
Crystal system   tetragonal

***

[2]
# Mg2RuSe

A relaxed structure of Mg2RuSe (PBE, the Alexandria database).

Geometry as CIF:
```
data_Mg2RuSe
_chemical_formula_sum 'Mg4 Ru2 Se2'
_space_group_name_H-M_alt 'C 1 2/m 1'
_space_group_IT_number 12
_space_group_name_Hall '-C 2y'
_cell_length_a 9.6389
_cell_length_b 3.5245
_cell_length_c 4.5054
_cell_angle_alpha 90.00
_cell_angle_beta 117.48
_cell_angle_gamma 90.00
loop_
_atom_site_label
_atom_site_type_symbol
_atom_site_fract_x
_atom_site_fract_y
_atom_site_fract_z
Mg1 Mg 0.2482 0.0000 0.2484
Ru1 Ru 0.0000 0.0000 0.5000
Se1 Se 0.0000 0.5000 0.0000
```

Calculated values
Energy relative to the elements, uncorrected   -0.0365 eV per atom
DOS at the Fermi energy   3.69 states/eV/f.u.
Crystal system   monoclinic

***

[3]
# UGa2Br6

A relaxed structure of UGa2Br6 (PBE, the Alexandria database).

Geometry as CIF:
```
data_UGa2Br6
_chemical_formula_sum 'U2 Ga4 Br12'
_space_group_name_H-M_alt 'P 1 21/c 1'
_space_group_IT_number 14
_space_group_name_Hall '-P 2ybc'
_cell_length_a 7.5552
_cell_length_b 8.0166
_cell_length_c 13.0402
_cell_angle_alpha 90.00
_cell_angle_beta 120.74
_cell_angle_gamma 90.00
loop_
_atom_site_label
_atom_site_type_symbol
_atom_site_fract_x
_atom_site_fract_y
_atom_site_fract_z
U1 U 0.0000 0.0000 0.0000
Ga1 Ga 0.3318 0.1004 0.8101
Br1 Br 0.0778 0.0617 0.2296
Br2 Br 0.2484 0.7193 0.0837
Br3 Br 0.3534 0.1805 0.0426
```

Calculated values
Energy relative to the elements, uncorrected   -0.9845 eV per atom
DOS at the Fermi energy   5.52 states/eV/f.u.
Crystal system   monoclinic

***

[4]
# KTa4Mo

A relaxed structure of KTa4Mo (PBE, the Alexandria database).

Geometry as CIF:
```
data_KTa4Mo
_chemical_formula_sum 'K4 Ta16 Mo4'
_space_group_name_H-M_alt 'F -4 3 m'
_space_group_IT_number 216
_space_group_name_Hall 'F -4 2 3'
_cell_length_a 7.9082
_cell_length_b 7.9082
_cell_length_c 7.9082
_cell_angle_alpha 90.00
_cell_angle_beta 90.00
_cell_angle_gamma 90.00
loop_
_atom_site_label
_atom_site_type_symbol
_atom_site_fract_x
_atom_site_fract_y
_atom_site_fract_z
K1 K 0.0000 0.0000 0.0000
Ta1 Ta 0.1237 0.1237 0.3763
Mo1 Mo 0.2500 0.2500 0.7500
```

Calculated values
E_form   7.0 eV/f.u.
DOS at the Fermi energy   12.15 states/eV/f.u.
Crystal system   cubic

***

[5]
# Th2TlAs

A relaxed structure of Th2TlAs (PBE, the Alexandria database).

Geometry as CIF:
```
data_Th2TlAs
_chemical_formula_sum 'Th2 Tl1 As1'
_space_group_name_H-M_alt 'P 4/m m m'
_space_group_IT_number 123
_space_group_name_Hall '-P 4 2'
_cell_length_a 3.6046
_cell_length_b 3.6046
_cell_length_c 8.3046
_cell_angle_alpha 90.00
_cell_angle_beta 90.00
_cell_angle_gamma 90.00
loop_
_atom_site_label
_atom_site_type_symbol
_atom_site_fract_x
_atom_site_fract_y
_atom_site_fract_z
Th1 Th 0.0000 0.0000 0.2180
Tl1 Tl 0.5000 0.5000 0.5000
As1 As 0.5000 0.5000 0.0000
```

Calculated values
E_form   -2.5 eV/f.u.
DOS at the Fermi energy   4.25 states/eV/f.u.
Crystal system   tetragonal

***

[6]
# Tb3HoPt12

A relaxed structure of Tb3HoPt12 (PBE, the Alexandria database).

Geometry as CIF:
```
data_Tb3HoPt12
_chemical_formula_sum 'Tb3 Ho1 Pt12'
_space_group_name_H-M_alt 'P 4/m m m'
_space_group_IT_number 123
_space_group_name_Hall '-P 4 2'
_cell_length_a 4.1311
_cell_length_b 4.1311
_cell_length_c 16.4495
_cell_angle_alpha 90.00
_cell_angle_beta 90.00
_cell_angle_gamma 90.00
loop_
_atom_site_label
_atom_site_type_symbol
_atom_site_fract_x
_atom_site_fract_y
_atom_site_fract_z
Tb1 Tb 0.0000 0.0000 0.0000
Tb2 Tb 0.0000 0.0000 0.2506
Ho1 Ho 0.0000 0.0000 0.5000
Pt1 Pt 0.0000 0.5000 0.1254
Pt2 Pt 0.0000 0.5000 0.3761
Pt3 Pt 0.5000 0.5000 0.0000
Pt4 Pt 0.5000 0.5000 0.2507
Pt5 Pt 0.5000 0.5000 0.5000
```

Calculated values
E_form   -16.4 eV/f.u.
DOS at the Fermi energy   14.48 states/eV/f.u.
Crystal system   tetragonal

***

[7]
# LiCaPmNd

A relaxed structure of LiCaPmNd (PBE, the Alexandria database).

Geometry as CIF:
```
data_LiCaPmNd
_chemical_formula_sum 'Li4 Ca4 Pm4 Nd4'
_space_group_name_H-M_alt 'F -4 3 m'
_space_group_IT_number 216
_space_group_name_Hall 'F -4 2 3'
_cell_length_a 8.1044
_cell_length_b 8.1044
_cell_length_c 8.1044
_cell_angle_alpha 90.00
_cell_angle_beta 90.00
_cell_angle_gamma 90.00
loop_
_atom_site_label
_atom_site_type_symbol
_atom_site_fract_x
_atom_site_fract_y
_atom_site_fract_z
Li1 Li 0.0000 0.0000 0.0000
Ca1 Ca 0.2500 0.2500 0.2500
Pm1 Pm 0.0000 0.0000 0.5000
Nd1 Nd 0.2500 0.2500 0.7500
```

Calculated values
E_form   0.9 eV/f.u.
DOS at the Fermi energy   4.87 states/eV/f.u.
Crystal system   cubic

***

[8]
# CePrY2N4

A relaxed structure of CePrY2N4 (PBE, the Alexandria database).

Geometry as CIF:
```
data_CePrY2N4
_chemical_formula_sum 'Ce1 Pr1 Y2 N4'
_space_group_name_H-M_alt 'P 1 2/m 1'
_space_group_IT_number 10
_space_group_name_Hall '-P 2y'
_cell_length_a 6.1443
_cell_length_b 3.5544
_cell_length_c 6.1506
_cell_angle_alpha 90.00
_cell_angle_beta 109.30
_cell_angle_gamma 90.00
loop_
_atom_site_label
_atom_site_type_symbol
_atom_site_fract_x
_atom_site_fract_y
_atom_site_fract_z
Ce1 Ce 0.0000 0.0000 0.0000
Pr1 Pr 0.0000 0.5000 0.5000
Y1 Y 0.5000 0.0000 0.5000
Y2 Y 0.5000 0.5000 0.0000
N1 N 0.2539 0.5000 0.2440
N2 N 0.2567 0.0000 0.7624
```

Calculated values
Energy relative to the elements, uncorrected   -1.5320 eV per atom
DOS at the Fermi energy   3.65 states/eV/f.u.
Crystal system   monoclinic

***

What is the formula in the sixth record?
Tb3HoPt12

***

The highest DOS at the Fermi energy belongs to which entry?
Tb3HoPt12

***

Which value of DOS at the Fermi energy does entry 1 give?
2.70 states/eV/f.u.

***

Which value of DOS at the Fermi energy does entry 4 give?
12.15 states/eV/f.u.